Record 1
PBE Ce6Au2C, relaxed; energy of formation = -318 meV/atom; E_tot = -6.03 eV/atom; magnetic moment = 0.00 μB/cell; space-group type = P2_1/c (14)
1.0
-6.260 0.411 -1.225
-1.240 -3.106 5.292
0.732 8.977 5.440
Ce Au C
12 4 2
Direct
0.691 0.762 0.518
0.744 0.331 0.474
0.244 0.169 0.974
0.191 0.738 0.018
0.756 0.831 0.026
0.809 0.262 0.982
0.256 0.669 0.526
0.442 0.561 0.768
0.942 0.939 0.268
0.558 0.439 0.232
0.309 0.238 0.482
0.058 0.061 0.732
0.552 0.051 0.739
0.052 0.449 0.239
0.448 0.949 0.261
0.948 0.551 0.761
0.000 0.000 0.500
0.500 0.500 0.000


Record 2
PBE Ce2AuC2, relaxed; energy of formation = -376 meV/atom; E_tot = -7.09 eV/atom; magnetic moment = 2.09 μB/cell; space-group type = C2/c (15)
1.0
3.925 0.000 -1.074
-0.482 6.423 -1.763
-0.015 0.330 7.656
Ce Au C
4 2 4
Direct
0.820 0.637 0.300
0.180 0.363 0.700
0.520 0.863 0.700
0.480 0.137 0.300
0.143 0.750 0.000
0.857 0.250 0.000
0.652 0.475 0.553
0.099 0.025 0.447
0.901 0.975 0.553
0.348 0.525 0.447


Record 3
PBE Ce3AuC, relaxed; offset from the most stable computed form = 0 meV per atom; energy of formation = -364 meV/atom; E_tot = -6.42 eV/atom; magnetic moment = 5.29 μB/cell; space-group type = Pnma (62)
1.0
-0.212 2.078 2.963
-3.463 -6.436 4.266
13.453 -4.504 4.124
Ce Au C
12 4 4
Direct
0.750 0.341 0.003
0.750 0.841 0.497
0.250 0.159 0.503
0.750 0.972 0.899
0.250 0.528 0.399
0.250 0.798 0.698
0.750 0.472 0.601
0.250 0.659 0.997
0.750 0.202 0.302
0.750 0.702 0.198
0.250 0.298 0.802
0.250 0.028 0.101
0.250 0.905 0.325
0.750 0.095 0.675
0.250 0.405 0.175
0.750 0.595 0.825
0.250 0.658 0.552
0.750 0.842 0.052
0.250 0.158 0.948
0.750 0.342 0.448